This record from the Alexandria database describes crystalline Tb3Ho2Er6Mg at its relaxed geometry. The functional is GGA-PBE.

Cell: 6.0719 10.5242 11.5969 Å, 90.00 100.14 90.00°
With the nearest neighbours (Å) after each atom.
Space group C2/m (No. 12)
Inequivalent atoms, fractional coordinates:
Tb  0.0000  0.0000  0.0000 (multiplicity 2)  6 Tb 3.50-3.52, 6 Er 3.51-3.52
Tb  0.0000  0.3341  0.0000 (multiplicity 4)  6 Tb 3.49-3.52, 6 Er 3.51-3.53
Ho  0.0000  0.1662  0.5000 (multiplicity 4)  6 Er 3.48, 3 Ho 3.50-3.51, 3 Mg 3.50-3.51
Er  0.2483  0.0000  0.7485 (multiplicity 4)  2 Ho 3.48, 1 Mg 3.49, 6 Er 3.50-3.51, 3 Tb 3.51
Er  0.2479  0.3336  0.7474 (multiplicity 8)  1 Mg 3.47, 2 Ho 3.48, 6 Er 3.50-3.51, 3 Tb 3.52-3.53
Mg  0.0000  0.5000  0.5000 (multiplicity 2)  6 Er 3.47-3.49, 6 Ho 3.50-3.51

Calculated values
M_tot (μB per formula unit): 0.00
Formation enthalpy at 0 K (meV/atom): 32